TeIrBr2 | PBE-GGA | relaxed

## Properties
density: 9.1 g/cm3
crystal system: orthorhombic
formation energy without anion corrections: 108.8 kJ/mol of atoms

Unit cell a=5.390 b=5.390 c=3.191 alpha=90.00 beta=90.00 gamma=108.59
Positions (direct):
Br: 0.500 0.500 0.000
Br: 0.000 0.000 0.000
Te: 0.000 0.500 0.500
Ir: 0.500 0.000 0.500